No. 1
## Tl2CdInHg8 (GGA-PBE)

Data for an optimized crystal structure of Tl2CdInHg8.

Computed properties:
**Total energy**: -10.8 eV per cell
**Crystal system**: triclinic
**DFT formation energy**: 0.0 eV per formula unit
**V**: 327.23 Å³/f.u.

Lattice parameters (Å, degrees): 5.5431 8.9569 6.7679 76.90 89.51 90.67
Fractional coordinates of all 12 atoms:
Tl1 0.5014 0.5063 0.7486
Tl2 0.4986 0.4937 0.2514
Cd1 0.0000 0.0000 0.0000
In1 0.0000 0.0000 0.5000
Hg1 0.9996 0.6738 0.3400
Hg2 0.5011 0.8396 0.9245
Hg3 0.9984 0.3216 0.1511
Hg4 0.0004 0.3262 0.6600
Hg5 0.4989 0.1604 0.0755
Hg6 0.0016 0.6784 0.8489
Hg7 0.4995 0.8415 0.4129
Hg8 0.5005 0.1585 0.5871


No. 2
## Tl2Cd2In5Hg3 (GGA-PBE)

Data for an optimized crystal structure of Tl2Cd2In5Hg3.

Computed properties:
**Total energy**: -20.5 eV per cell
**Crystal system**: tetragonal
**DFT formation energy**: 0.6 eV per formula unit
**V**: 333.72 Å³/f.u.

Lattice parameters (Å, degrees): 4.5833 4.5833 16.2138 98.13 98.13 90.00
Fractional coordinates of all 12 atoms:
Tl1 0.7464 0.7464 0.4928
Tl2 0.2536 0.2536 0.5072
Cd1 0.3491 0.3491 0.6982
Cd2 0.6509 0.6509 0.3018
In1 0.5773 0.0773 0.1545
In2 0.4227 0.9227 0.8455
In3 0.0773 0.5773 0.1545
In4 0.9227 0.4227 0.8455
In5 0.5000 0.5000 0.0000
Hg1 0.1566 0.1566 0.3131
Hg2 0.8434 0.8434 0.6869
Hg3 0.0000 0.0000 0.0000


No. 3
## Tl2CdIn4Hg2 (GGA-PBE)

Data for an optimized crystal structure of Tl2CdIn4Hg2.

Computed properties:
**Total energy**: -16.9 eV per cell
**Crystal system**: monoclinic
**DFT formation energy**: 0.3 eV per formula unit
**V**: 256.42 Å³/f.u.

Lattice parameters (Å, degrees): 6.2337 6.9789 6.9789 57.73 87.59 87.59
Fractional coordinates of all 9 atoms:
Tl1 0.3433 0.6526 0.6526
Tl2 0.6567 0.3474 0.3474
Cd1 0.5000 0.0000 0.0000
In1 0.1679 0.6421 0.1619
In2 0.8321 0.8381 0.3579
In3 0.8321 0.3579 0.8381
In4 0.1679 0.1619 0.6421
Hg1 0.1904 0.1895 0.1895
Hg2 0.8096 0.8105 0.8105


No. 4
## Tl2CdIn3Hg3 (GGA-PBE)

Data for an optimized crystal structure of Tl2CdIn3Hg3.

Computed properties:
**Total energy**: -14.4 eV per cell
**Crystal system**: hexagonal
**DFT formation energy**: 0.4 eV per formula unit
**V**: 248.23 Å³/f.u.

Lattice parameters (Å, degrees): 3.4821 9.0729 9.0729 120.00 90.00 90.00
Fractional coordinates of all 9 atoms:
Tl1 0.5000 0.6667 0.3333
Tl2 0.5000 0.3333 0.6667
Cd1 0.0000 0.0000 0.0000
In1 0.5000 0.7122 0.0000
In2 0.5000 0.0000 0.7122
In3 0.5000 0.2878 0.2878
Hg1 0.0000 0.6378 0.6378
Hg2 0.0000 0.0000 0.3622
Hg3 0.0000 0.3622 0.0000


No. 5
## Tl3Cd2In4Hg2 (GGA-PBE)

Data for an optimized crystal structure of Tl3Cd2In4Hg2.

Computed properties:
**Total energy**: -20.0 eV per cell
**Crystal system**: trigonal
**DFT formation energy**: 0.5 eV per formula unit
**V**: 314.70 Å³/f.u.

Lattice parameters (Å, degrees): 5.3451 5.3451 12.7195 90.00 90.00 120.00
Fractional coordinates of all 11 atoms:
Tl1 0.0000 0.0000 0.7207
Tl2 0.0000 0.0000 0.0000
Tl3 0.0000 0.0000 0.2793
Cd1 0.6667 0.3333 0.3756
Cd2 0.3333 0.6667 0.6244
In1 0.6667 0.3333 0.1240
In2 0.3333 0.6667 0.8760
In3 0.6667 0.3333 0.6142
In4 0.3333 0.6667 0.3858
Hg1 0.6667 0.3333 0.8703
Hg2 0.3333 0.6667 0.1297


No. 6
## TlCd2InHg (GGA-PBE)

Data for an optimized crystal structure of TlCd2InHg.

Computed properties:
**Total energy**: -14.2 eV per cell
**Crystal system**: monoclinic
**DFT formation energy**: 0.1 eV per formula unit
**V**: 134.89 Å³/f.u.

Lattice parameters (Å, degrees): 5.0847 7.9997 6.6323 90.10 90.00 90.00
Fractional coordinates of all 10 atoms:
Tl1 0.2500 0.1564 0.9937
Tl2 0.7500 0.8436 0.0063
Cd1 0.7500 0.7025 0.4828
Cd2 0.2500 0.2975 0.5172
Cd3 0.7500 0.4108 0.7892
Cd4 0.2500 0.5892 0.2108
In1 0.2500 0.6320 0.7624
In2 0.7500 0.3680 0.2376
Hg1 0.2500 0.9234 0.4154
Hg2 0.7500 0.0766 0.5846


No. 7
## TlCdIn4Hg2 (GGA-PBE)

Data for an optimized crystal structure of TlCdIn4Hg2.

Computed properties:
**Total energy**: -28.9 eV per cell
**Crystal system**: monoclinic
**DFT formation energy**: 0.4 eV per formula unit
**V**: 223.39 Å³/f.u.

Lattice parameters (Å, degrees): 8.8961 8.8961 10.9751 128.14 128.14 87.83
Fractional coordinates of all 16 atoms:
Tl1 0.0000 0.5000 0.0000
Tl2 0.0000 0.5000 0.5000
Cd1 0.5000 0.5000 0.5000
Cd2 0.0000 0.0000 0.0000
In1 0.2594 0.7562 0.0078
In2 0.7438 0.2406 0.4922
In3 0.2562 0.7594 0.5078
In4 0.7406 0.2438 0.9922
In5 0.7415 0.7617 0.0003
In6 0.7383 0.7585 0.4997
In7 0.2617 0.2416 0.5003
In8 0.2584 0.2383 0.9997
Hg1 0.5000 0.0000 0.0000
Hg2 0.5000 0.0000 0.5000
Hg3 0.0000 0.0000 0.5000
Hg4 0.5000 0.5000 0.0000


No. 8
## Tl2CdIn2Hg4 (GGA-PBE)

Data for an optimized crystal structure of Tl2CdIn2Hg4.

Computed properties:
**Total energy**: -12.2 eV per cell
**Crystal system**: monoclinic
**DFT formation energy**: 0.1 eV per formula unit
**V**: 250.22 Å³/f.u.

Lattice parameters (Å, degrees): 3.8237 7.7008 8.9070 99.65 90.00 104.38
Fractional coordinates of all 9 atoms:
Tl1 0.8516 0.7031 0.4037
Tl2 0.1484 0.2969 0.5963
Cd1 0.0000 0.0000 0.0000
In1 0.3408 0.6815 0.0546
In2 0.6592 0.3185 0.9454
Hg1 0.8205 0.6410 0.7533
Hg2 0.1795 0.3590 0.2467
Hg3 0.5186 0.0372 0.3122
Hg4 0.4814 0.9628 0.6878


No. 9
## Tm2CdInHg (GGA-PBE)

Data for an optimized crystal structure of Tm2CdInHg.

Computed properties:
**Total energy**: -29.2 eV per cell
**Crystal system**: monoclinic
**DFT formation energy**: -1.7 eV per formula unit
**V**: 125.46 Å³/f.u.

Lattice parameters (Å, degrees): 4.6098 7.8744 7.2159 106.68 90.00 90.00
Fractional coordinates of all 10 atoms:
Tm1 0.7500 0.8775 0.5999
Tm2 0.7500 0.6832 0.0049
Tm3 0.2500 0.1225 0.4001
Tm4 0.2500 0.3168 0.9951
Cd1 0.2500 0.5421 0.6581
Cd2 0.7500 0.4579 0.3419
In1 0.2500 0.6977 0.3045
In2 0.7500 0.3023 0.6955
Hg1 0.2500 0.9150 0.8797
Hg2 0.7500 0.0850 0.1203


No. 10
## TmCdInHg (GGA-PBE)

Data for an optimized crystal structure of TmCdInHg.

Computed properties:
**Total energy**: -9.5 eV per cell
**Crystal system**: cubic
**DFT formation energy**: -1.1 eV per formula unit
**V**: 95.55 Å³/f.u.
**Energy relative to the lowest polymorph listed for this composition**: 42 meV per atom

Lattice parameters (Å, degrees): 5.1315 5.1315 5.1315 60.00 60.00 60.00
Fractional coordinates of all 4 atoms:
Cd1 0.7500 0.7500 0.7500
Tm1 0.2500 0.2500 0.2500
Hg1 0.5000 0.5000 0.5000
In1 0.0000 0.0000 0.0000


No. 11
## TmCd2InHg5 (GGA-PBE)

Data for an optimized crystal structure of TmCd2InHg5.

Computed properties:
**Total energy**: -23.1 eV per cell
**Crystal system**: orthorhombic
**DFT formation energy**: -1.0 eV per formula unit
**V**: 218.80 Å³/f.u.

Lattice parameters (Å, degrees): 4.8081 7.0051 13.8325 90.00 90.00 110.07
Fractional coordinates of all 18 atoms:
Tm1 0.5891 0.1782 0.9313
Tm2 0.4109 0.8218 0.4313
Cd1 0.9162 0.8323 0.9219
Cd2 0.0827 0.1654 0.7583
Cd3 0.0838 0.1677 0.4219
Cd4 0.9173 0.8346 0.2583
In1 0.7375 0.4750 0.4202
In2 0.2625 0.5250 0.9202
Hg1 0.4195 0.8390 0.0875
Hg2 0.7406 0.4812 0.7584
Hg3 0.4298 0.8596 0.7606
Hg4 0.2523 0.5045 0.5987
Hg5 0.9129 0.8257 0.5870
Hg6 0.5805 0.1610 0.5875
Hg7 0.2594 0.5188 0.2584
Hg8 0.5702 0.1404 0.2606
Hg9 0.7477 0.4955 0.0987
Hg10 0.0871 0.1743 0.0870


No. 12
## Tm4CdIn2Hg (GGA-PBE)

Data for an optimized crystal structure of Tm4CdIn2Hg.

Computed properties:
**Total energy**: -27.9 eV per cell
**Crystal system**: trigonal
**DFT formation energy**: -3.3 eV per formula unit
**V**: 202.94 Å³/f.u.

Lattice parameters (Å, degrees): 5.2354 5.2354 9.0680 73.22 73.22 60.00
Fractional coordinates of all 8 atoms:
Tm1 0.3765 0.3765 0.8706
Tm2 0.8736 0.8736 0.3792
Tm3 0.1264 0.1264 0.6208
Tm4 0.6235 0.6235 0.1294
Cd1 0.0000 0.0000 0.0000
In1 0.7478 0.7478 0.7566
In2 0.2522 0.2522 0.2434
Hg1 0.5000 0.5000 0.5000